Here is crystalline Cs2OsN at its relaxed geometry from the Alexandria database. Energies are from GGA-PBE.

a b c (Å): 8.9297 8.9297 8.9297
angles (deg): 92.57 92.57 155.55
Last column: nearest neighbours and their distance in Å.
Positions (direct):
Os: 0.0000 0.0000 0.0000  2 N 1.89
Os: 0.2500 0.7500 0.5000  2 N 1.89
Cs: 0.6250 0.3026 0.1776  2 N 3.25, 2 Os 3.51
Cs: 0.1250 0.4474 0.8224  2 N 3.25, 2 Os 3.51
Cs: 0.5526 0.3750 0.6776  2 N 3.25, 2 Os 3.51
Cs: 0.6974 0.8750 0.3224  2 N 3.25, 2 Os 3.51
N: 0.5000 0.5000 0.0000  2 Os 1.89
N: 0.7500 0.2500 0.5000  2 Os 1.89

Results
* V: 288 Å³ per cell
* energy: -39.71 eV per cell
* ΔE_f (raw): 0.351 eV/atom



Here is crystalline Mg4Tl3Pb4 at its relaxed geometry from the Alexandria database. Energies are from GGA-PBE.

a b c (Å): 7.7227 7.7227 7.7227
angles (deg): 109.47 109.47 109.47
Last column: nearest neighbours and their distance in Å.
Positions (direct):
Pb: 0.0000 0.6050 0.0000  4 Mg 2.77-3.01
Pb: 0.3950 0.3950 0.3950  4 Mg 2.77-3.01
Pb: 0.0000 0.0000 0.6050  4 Mg 2.77-3.01
Pb: 0.6050 0.0000 0.0000  4 Mg 2.77-3.01
Mg: 0.0000 0.0000 0.2463  4 Pb 2.77-3.01
Mg: 0.2463 0.0000 0.0000  4 Pb 2.77-3.01
Mg: 0.0000 0.2463 0.0000  4 Pb 2.77-3.01
Mg: 0.7537 0.7537 0.7537  4 Pb 2.77-3.01
Tl: 0.0000 0.5000 0.5000  4 Pb 3.67, 4 Mg 3.70
Tl: 0.5000 0.0000 0.5000  4 Pb 3.67, 4 Mg 3.70
Tl: 0.5000 0.5000 0.0000  4 Pb 3.67, 4 Mg 3.70

Results
* formation energy: 0.144 eV per atom
* V: 355 Å³ per cell
* energy: -26.72 eV per cell



Here is crystalline RbSr2Hg2Bi2 at its relaxed geometry from the Alexandria database. Energies are from GGA-PBE.

a b c (Å): 5.6167 5.6167 10.8845
angles (deg): 75.05 75.05 60.00
Last column: nearest neighbours and their distance in Å.
Positions (direct):
Hg: 0.4483 0.4483 0.6550  1 Hg 3.22, 3 Sr 3.28, 3 Bi 3.36
Hg: 0.5517 0.5517 0.3450  1 Hg 3.22, 3 Sr 3.28, 3 Bi 3.36
Bi: 0.2460 0.2460 0.2620  3 Hg 3.36, 4 Sr 3.52-3.58
Bi: 0.7540 0.7540 0.7380  3 Hg 3.36, 4 Sr 3.52-3.58
Sr: 0.8687 0.8687 0.3939  3 Hg 3.28, 4 Bi 3.52-3.58
Sr: 0.1313 0.1313 0.6061  3 Hg 3.28, 4 Bi 3.52-3.58
Rb: 0.0000 0.0000 0.0000  2 Sr 4.09, 6 Bi 4.23

Results
* formation energy: -0.485 eV per atom
* V: 284 Å³ per cell
* energy: -16.09 eV per cell



Here is crystalline KRhSe2 at its relaxed geometry from the Alexandria database. Energies are from GGA-PBE.

a b c (Å): 5.7088 5.7088 7.2297
angles (deg): 66.75 66.75 90.00
Last column: nearest neighbours and their distance in Å.
Positions (direct):
Se: 0.9512 0.4512 0.0975  1 Rh 2.41
Se: 0.7988 0.7988 0.4025  1 Rh 2.41
Se: 0.5488 0.0488 0.9025  1 Rh 2.41
Se: 0.2012 0.2012 0.5975  1 Rh 2.41
Rh: 0.0000 0.0000 0.0000  2 Se 2.41
Rh: 0.7500 0.2500 0.5000  2 Se 2.41
K: 0.2500 0.7500 0.5000  4 Se 2.91
K: 0.5000 0.5000 0.0000  4 Se 2.91

Results
* V: 195 Å³ per cell
* energy: -33.40 eV per cell
* ΔE_f (raw): -0.320 eV/atom